Material: MnPO2F
Method: DFT, PBE with a Hubbard U
State: relaxed

Calculated values
Space-group type: P4/mmm
Calculated total energy, eV per atom: -4.55

Unit cell a=4.4057 b=4.4057 c=3.3864 alpha=90.00 beta=90.00 gamma=90.00
Element x y z (fractional)
Mn 0.0000 0.0000 0.0000
P 0.5000 0.5000 0.0000
O 0.0000 0.5000 0.5000
O 0.5000 0.0000 0.5000
F 0.5000 0.5000 0.5000